# 1
In2Sn2As | PBE-GGA | relaxed

Calculated values
- mass density (g cm⁻³) = 6.67
- E_form (eV/atom) = 0.18
- calculated total energy (eV/atom) = -3.4480

```
data_In2Sn2As
_space_group_name_H-M_alt 'P 1'
_space_group_IT_number 1
_space_group_name_Hall 'P 1'
_cell_length_a 7.515
_cell_length_b 7.515
_cell_length_c 4.781
_cell_angle_alpha 90.00
_cell_angle_beta 90.00
_cell_angle_gamma 90.00
loop_
_atom_site_label
_atom_site_fract_x
_atom_site_fract_y
_atom_site_fract_z
In1 0.141 0.359 0.000
In2 0.359 0.859 0.000
In3 0.641 0.141 0.000
In4 0.859 0.641 0.000
Sn1 0.174 0.674 0.500
Sn2 0.326 0.174 0.500
Sn3 0.674 0.826 0.500
Sn4 0.826 0.326 0.500
As1 0.000 0.000 0.000
As2 0.500 0.500 0.000
```

=====

# 2
CaBeCo2Pt | PBE-GGA | relaxed

Calculated values
- mass density (g cm⁻³) = 7.39
- E_form (eV/atom) = 1.86
- calculated total energy (eV/atom) = -3.3383

```
data_CaBeCo2Pt
_space_group_name_H-M_alt 'P 1'
_space_group_IT_number 1
_space_group_name_Hall 'P 1'
_cell_length_a 4.248
_cell_length_b 4.248
_cell_length_c 4.507
_cell_angle_alpha 90.00
_cell_angle_beta 90.00
_cell_angle_gamma 90.00
loop_
_atom_site_label
_atom_site_fract_x
_atom_site_fract_y
_atom_site_fract_z
Ca1 0.000 0.000 0.000
Be1 0.000 0.000 0.500
Co1 0.000 0.500 0.000
Co2 0.500 0.000 0.000
Pt1 0.500 0.500 0.500
```

=====

# 3
ScMnPb2S5 | PBE-GGA | relaxed

Calculated values
- mass density (g cm⁻³) = 5.38
- E_form (uncorrected) (eV per formula unit) = -7.8
- calculated total energy (eV/atom) = -5.7081

```
data_ScMnPb2S5
_space_group_name_H-M_alt 'P 1'
_space_group_IT_number 1
_space_group_name_Hall 'P 1'
_cell_length_a 8.818
_cell_length_b 8.818
_cell_length_c 12.578
_cell_angle_alpha 90.00
_cell_angle_beta 90.00
_cell_angle_gamma 154.81
loop_
_atom_site_label
_atom_site_fract_x
_atom_site_fract_y
_atom_site_fract_z
Sc1 0.202 0.798 0.500
Sc2 0.798 0.202 0.000
Mn1 0.441 0.559 0.908
Mn2 0.559 0.441 0.408
Pb1 0.125 0.875 0.794
Pb2 0.127 0.873 0.143
Pb3 0.873 0.127 0.643
Pb4 0.875 0.125 0.294
S1 0.047 0.953 0.507
S2 0.294 0.706 0.139
S3 0.313 0.687 0.859
S4 0.349 0.651 0.482
S5 0.497 0.503 0.252
S6 0.503 0.497 0.752
S7 0.651 0.349 0.982
S8 0.687 0.313 0.359
S9 0.706 0.294 0.639
S10 0.953 0.047 0.007
```

=====

# 4
YSb2Au | PBE-GGA | relaxed

Calculated values
- mass density (g cm⁻³) = 8.83
- E_form (uncorrected) (eV per formula unit) = -2.1
- calculated total energy (eV/atom) = -5.0335

```
data_YSb2Au
_space_group_name_H-M_alt 'P 1'
_space_group_IT_number 1
_space_group_name_Hall 'P 1'
_cell_length_a 12.657
_cell_length_b 5.192
_cell_length_c 6.058
_cell_angle_alpha 90.00
_cell_angle_beta 90.00
_cell_angle_gamma 90.00
loop_
_atom_site_label
_atom_site_fract_x
_atom_site_fract_y
_atom_site_fract_z
Y1 0.095 0.250 0.135
Y2 0.405 0.750 0.635
Y3 0.595 0.250 0.365
Y4 0.905 0.750 0.865
Sb1 0.026 0.250 0.633
Sb2 0.181 0.750 0.855
Sb3 0.319 0.250 0.355
Sb4 0.474 0.750 0.133
Sb5 0.526 0.250 0.867
Sb6 0.681 0.750 0.645
Sb7 0.819 0.250 0.145
Sb8 0.974 0.750 0.367
Au1 0.200 0.750 0.349
Au2 0.300 0.250 0.849
Au3 0.700 0.750 0.151
Au4 0.800 0.250 0.651
```

=====

# 5
NaCeCl6 | PBE-GGA | relaxed

Calculated values
- mass density (g cm⁻³) = 2.41
- E_form (uncorrected) (eV per formula unit) = -12.2
- calculated total energy (eV/atom) = -3.8145

```
data_NaCeCl6
_space_group_name_H-M_alt 'P 1'
_space_group_IT_number 1
_space_group_name_Hall 'P 1'
_cell_length_a 6.839
_cell_length_b 6.839
_cell_length_c 6.400
_cell_angle_alpha 90.00
_cell_angle_beta 90.00
_cell_angle_gamma 120.00
loop_
_atom_site_label
_atom_site_fract_x
_atom_site_fract_y
_atom_site_fract_z
Na1 0.000 0.000 0.000
Ce1 0.667 0.333 0.500
Cl1 0.351 0.023 0.739
Cl2 0.351 0.328 0.261
Cl3 0.672 0.023 0.261
Cl4 0.672 0.649 0.739
Cl5 0.977 0.328 0.739
Cl6 0.977 0.649 0.261
```

=====

# 6
ScHgMo2 | PBE-GGA | relaxed

Calculated values
- mass density (g cm⁻³) = 9.94
- E_form (eV/atom) = 0.39
- calculated total energy (eV/atom) = -6.6872

```
data_ScHgMo2
_space_group_name_H-M_alt 'P 1'
_space_group_IT_number 1
_space_group_name_Hall 'P 1'
_cell_length_a 2.800
_cell_length_b 2.800
_cell_length_c 9.318
_cell_angle_alpha 90.00
_cell_angle_beta 90.00
_cell_angle_gamma 90.00
loop_
_atom_site_label
_atom_site_fract_x
_atom_site_fract_y
_atom_site_fract_z
Sc1 0.000 0.000 0.000
Hg1 0.000 0.000 0.500
Mo1 0.500 0.500 0.253
Mo2 0.500 0.500 0.747
```

=====

# 7
TbPm3Bi3 | PBE-GGA | relaxed

Calculated values
- mass density (g cm⁻³) = 9.22
- E_form (eV/atom) = -0.80
- calculated total energy (eV/atom) = -5.1642

```
data_TbPm3Bi3
_space_group_name_H-M_alt 'P 1'
_space_group_IT_number 1
_space_group_name_Hall 'P 1'
_cell_length_a 9.580
_cell_length_b 9.580
_cell_length_c 9.580
_cell_angle_alpha 90.00
_cell_angle_beta 90.00
_cell_angle_gamma 90.00
loop_
_atom_site_label
_atom_site_fract_x
_atom_site_fract_y
_atom_site_fract_z
Tb1 0.073 0.427 0.573
Tb2 0.427 0.573 0.073
Tb3 0.573 0.073 0.427
Tb4 0.927 0.927 0.927
Pm1 0.069 0.569 0.931
Pm2 0.177 0.177 0.177
Pm3 0.178 0.822 0.322
Pm4 0.322 0.178 0.822
Pm5 0.323 0.823 0.677
Pm6 0.431 0.431 0.431
Pm7 0.569 0.931 0.069
Pm8 0.677 0.323 0.823
Pm9 0.678 0.678 0.678
Pm10 0.822 0.322 0.178
Pm11 0.823 0.677 0.323
Pm12 0.931 0.069 0.569
Bi1 0.001 0.746 0.627
Bi2 0.127 0.499 0.254
Bi3 0.246 0.873 0.999
Bi4 0.254 0.127 0.499
Bi5 0.373 0.501 0.754
Bi6 0.499 0.254 0.127
Bi7 0.501 0.754 0.373
Bi8 0.627 0.001 0.746
Bi9 0.746 0.627 0.001
Bi10 0.754 0.373 0.501
Bi11 0.873 0.999 0.246
Bi12 0.999 0.246 0.873
```

=====

# 8
Sm4CoAu | PBE-GGA | relaxed

Calculated values
- mass density (g cm⁻³) = 8.83
- E_form (eV/atom) = -0.32
- calculated total energy (eV/atom) = -5.1951

```
data_Sm4CoAu
_space_group_name_H-M_alt 'P 1'
_space_group_IT_number 1
_space_group_name_Hall 'P 1'
_cell_length_a 7.528
_cell_length_b 7.528
_cell_length_c 6.287
_cell_angle_alpha 98.28
_cell_angle_beta 98.28
_cell_angle_gamma 110.75
loop_
_atom_site_label
_atom_site_fract_x
_atom_site_fract_y
_atom_site_fract_z
Sm1 0.063 0.733 0.968
Sm2 0.220 0.384 0.581
Sm3 0.267 0.937 0.532
Sm4 0.384 0.220 0.081
Sm5 0.616 0.780 0.919
Sm6 0.733 0.063 0.468
Sm7 0.780 0.616 0.419
Sm8 0.937 0.267 0.032
Co1 0.001 0.999 0.750
Co2 0.999 0.001 0.250
Au1 0.371 0.629 0.250
Au2 0.629 0.371 0.750
```

=====

# 9
ZrTi8Co2 | PBE-GGA | relaxed

Calculated values
- mass density (g cm⁻³) = 5.31
- E_form (eV/atom) = -0.01
- calculated total energy (eV/atom) = -7.8161

```
data_ZrTi8Co2
_space_group_name_H-M_alt 'P 1'
_space_group_IT_number 1
_space_group_name_Hall 'P 1'
_cell_length_a 6.727
_cell_length_b 6.727
_cell_length_c 5.342
_cell_angle_alpha 94.91
_cell_angle_beta 94.91
_cell_angle_gamma 50.31
loop_
_atom_site_label
_atom_site_fract_x
_atom_site_fract_y
_atom_site_fract_z
Zr1 0.000 0.000 0.000
Ti1 0.145 0.621 0.578
Ti2 0.211 0.211 0.846
Ti3 0.379 0.855 0.422
Ti4 0.416 0.416 0.099
Ti5 0.584 0.584 0.901
Ti6 0.621 0.145 0.578
Ti7 0.789 0.789 0.154
Ti8 0.855 0.379 0.422
Co1 0.253 0.253 0.295
Co2 0.747 0.747 0.705
```

=====

# 10
TmAlGaPd | PBE-GGA | relaxed

Calculated values
- mass density (g cm⁻³) = 8.54
- E_form (eV/atom) = -0.64
- calculated total energy (eV/atom) = -4.7495

```
data_TmAlGaPd
_space_group_name_H-M_alt 'P 1'
_space_group_IT_number 1
_space_group_name_Hall 'P 1'
_cell_length_a 4.676
_cell_length_b 4.676
_cell_length_c 4.676
_cell_angle_alpha 60.00
_cell_angle_beta 60.00
_cell_angle_gamma 60.00
loop_
_atom_site_label
_atom_site_fract_x
_atom_site_fract_y
_atom_site_fract_z
Tm1 0.000 0.000 0.000
Al1 0.500 0.500 0.500
Ga1 0.750 0.750 0.750
Pd1 0.250 0.250 0.250
```

=====

# 11
Dy6ScTl2 | PBE-GGA | relaxed

Calculated values
- mass density (g cm⁻³) = 9.08
- E_form (eV/atom) = -0.08
- calculated total energy (eV/atom) = -4.3792

```
data_Dy6ScTl2
_space_group_name_H-M_alt 'P 1'
_space_group_IT_number 1
_space_group_name_Hall 'P 1'
_cell_length_a 9.454
_cell_length_b 9.454
_cell_length_c 6.101
_cell_angle_alpha 93.67
_cell_angle_beta 93.67
_cell_angle_gamma 74.12
loop_
_atom_site_label
_atom_site_fract_x
_atom_site_fract_y
_atom_site_fract_z
Dy1 0.081 0.810 0.991
Dy2 0.147 0.408 0.163
Dy3 0.190 0.919 0.509
Dy4 0.240 0.527 0.683
Dy5 0.408 0.147 0.663
Dy6 0.473 0.760 0.817
Dy7 0.527 0.240 0.183
Dy8 0.592 0.853 0.337
Dy9 0.760 0.473 0.317
Dy10 0.810 0.081 0.491
Dy11 0.853 0.592 0.837
Dy12 0.919 0.190 0.009
Sc1 0.400 0.600 0.250
Sc2 0.600 0.400 0.750
Tl1 0.042 0.279 0.582
Tl2 0.279 0.042 0.082
Tl3 0.721 0.958 0.918
Tl4 0.958 0.721 0.418
```

=====

# 12
BaCrHg2 | PBE-GGA | relaxed

Calculated values
- mass density (g cm⁻³) = 8.19
- E_form (eV/atom) = 0.11
- calculated total energy (eV/atom) = -2.9229

```
data_BaCrHg2
_space_group_name_H-M_alt 'P 1'
_space_group_IT_number 1
_space_group_name_Hall 'P 1'
_cell_length_a 4.068
_cell_length_b 4.156
_cell_length_c 7.080
_cell_angle_alpha 90.00
_cell_angle_beta 90.00
_cell_angle_gamma 90.00
loop_
_atom_site_label
_atom_site_fract_x
_atom_site_fract_y
_atom_site_fract_z
Ba1 0.000 0.000 0.000
Cr1 0.000 0.500 0.562
Hg1 0.500 0.000 0.596
Hg2 0.500 0.500 0.268
```

=====

no.,Fermi-level density of states (states/eV per atom)
1,0.5245
2,1.1893
3,0.3254
4,0.4804
5,1.4494
6,0.6345
7,1.1361
8,1.0608
9,1.3462
10,0.6138
11,1.1159
12,0.6882